Below is crystalline CePrDy2 at its relaxed geometry, with properties calculated at the GGA-PBE level.

Lattice parameters (Å, degrees): 3.442 6.494 11.682 86.10 98.47 90.00
Each line ends with the local moment (μB).
Atoms (fractional coordinates):
1 Pr 0.750 0.744 0.500  0.00
2 Pr 0.250 0.256 0.500  0.00
3 Ce 0.499 0.209 0.998  0.34
4 Ce 0.501 0.791 0.002  0.34
5 Dy 0.377 0.531 0.754  -0.01
6 Dy 0.121 0.968 0.242  0.01
7 Dy 0.623 0.469 0.246  -0.01
8 Dy 0.879 0.032 0.758  0.01

Values from the calculation:
**Spin magnetization**: 0.38 μB per formula unit
**VASP energy**: -4.866 eV per atom
**Fermi-level density of states**: 14.87 states/eV/cell
**SG**: C2/m, No. 12